Material: DyHo2TlO
Method: DFT, GGA-PBE
State: relaxed

The space group is P4/mmm (No. 123) and the conventional cell measures 4.757, 4.757 and 4.792 Å, with angles of 90.00, 90.00 and 90.00 degrees. The inequivalent atoms are Dy at (0.000, 0.000, 0.000), Ho at (0.000, 0.500, 0.500), Tl at (0.500, 0.500, 0.000) and O at (0.000, 0.000, 0.500).

The density of states at the Fermi level comes out at 1.5 states/eV/cell. The value obtained for the raw formation energy is -6.75 eV per formula unit.

Material: DyHo2TmO6
Method: DFT, GGA-PBE
State: relaxed

The space group is R3 (No. 146, hexagonal axes) and the conventional cell measures 5.7678, 5.7678 and 15.0912 Å, with angles of 90.00, 90.00 and 120.00 degrees. The inequivalent atoms are Dy at (0.0000, 0.0000, 0.0000), Ho at (0.0000, 0.0000, 0.2821), Ho at (0.0000, 0.0000, 0.7833), Tm at (0.0000, 0.0000, 0.4977), O at (0.0011, 0.7099, 0.3917) and O at (0.0403, 0.3695, 0.5575).

The density of states at the Fermi level comes out at 0.0 states/eV/cell. The value obtained for the raw formation energy is -35.73 eV per formula unit.